The following is a DFT calculation (PBE) of a relaxed Sr2LaTe crystal.

- volume (Å³/atom) = 38.23
- size of the total moment (μB per cell) = 1.35
- theoretical density (g/cm3) = 4.80
- E (eV/atom) = -3.265

```
data_Sr2LaTe
_chemical_formula_sum 'Sr4 La2 Te2'
_cell_length_a 5.055
_cell_length_b 5.055
_cell_length_c 11.968
_cell_angle_alpha 90.00
_cell_angle_beta 90.00
_cell_angle_gamma 90.00
_space_group_name_H-M_alt 'I -4 m 2'
_space_group_IT_number 119
_space_group_name_Hall 'I -4 -2'
loop_
_atom_site_label
_atom_site_fract_x
_atom_site_fract_y
_atom_site_fract_z
Sr1 0.000 0.000 0.000
Sr2 0.000 0.500 0.250
La1 0.000 0.000 0.500
Te1 0.000 0.500 0.750
```